1.
8
Lattice="6.3082 0.0000 0.0000 0.0000 6.8697 0.0000 0.0000 0.0000 3.7610" Properties=species:S:1:pos:R:3 comment="ScRePb2, PBEsol geometry, DFT meta-GGA SCAN" e_above_lowest_polymorph_mev_per_atom=201 spacegroup="No. 65" mass_density_g_cm3=13.15 n_ef_per_ev_cell=6.23 pbc="T T T"
Sc 0.0000 0.0000 0.0000
Sc 3.1541 3.4348 0.0000
Re 0.0000 3.4348 0.0000
Re 3.1541 0.0000 0.0000
Pb 1.5770 1.7174 1.8805
Pb 1.5770 5.1523 1.8805
Pb 4.7311 1.7174 1.8805
Pb 4.7311 5.1523 1.8805

---

2.
16
Lattice="6.8241 0.0000 0.0000 0.0000 6.8241 0.0000 0.0000 0.0000 6.8241" Properties=species:S:1:pos:R:3 comment="ScRePb2, PBEsol geometry, DFT meta-GGA SCAN" e_above_lowest_polymorph_mev_per_atom=0 spacegroup="No. 225" mass_density_g_cm3=13.49 n_ef_per_ev_cell=5.07 pbc="T T T"
Sc 0.0000 0.0000 0.0000
Sc 0.0000 3.4121 3.4121
Sc 3.4121 0.0000 3.4121
Sc 3.4121 3.4121 0.0000
Re 0.0000 0.0000 3.4121
Re 0.0000 3.4121 0.0000
Re 3.4121 0.0000 0.0000
Re 3.4121 3.4121 3.4121
Pb 1.7060 1.7060 1.7060
Pb 1.7060 1.7060 5.1181
Pb 1.7060 5.1181 1.7060
Pb 1.7060 5.1181 5.1181
Pb 5.1181 1.7060 1.7060
Pb 5.1181 1.7060 5.1181
Pb 5.1181 5.1181 1.7060
Pb 5.1181 5.1181 5.1181